This record from the Alexandria database describes a relaxed structure of BaLaMo2. The functional is GGA-PBE.

Cell: 10.9000 10.9000 10.9000 Å, 154.29 154.29 36.68°
Fractional coordinates of all 8 atoms:
Ba 0.0000 0.0000 0.0000
Ba 0.7500 0.2500 0.5000
La 0.2500 0.7500 0.5000
La 0.5000 0.5000 0.0000
Mo 0.2979 0.6250 0.1729
Mo 0.3750 0.5479 0.6729
Mo 0.4521 0.1250 0.8271
Mo 0.8750 0.7021 0.3271

Results
**Offset from the most stable computed form**: 792 meV/atom
**Energy relative to the elements**: 5.11 eV per formula unit
**VASP energy**: -46.8 eV per cell
**Symmetry**: No. 122


This record from the Alexandria database describes a relaxed structure of LiBeNiRh. The functional is GGA-PBE.

Cell: 3.9132 3.9132 3.9132 Å, 60.00 60.00 60.00°
Fractional coordinates of all 4 atoms:
Li 0.0000 0.0000 0.0000
Be 0.5000 0.5000 0.5000
Ni 0.7500 0.7500 0.7500
Rh 0.2500 0.2500 0.2500

Results
**Energy relative to the elements**: -1.01 eV per formula unit
**VASP energy**: -19.8 eV per cell
**Symmetry**: No. 216


This record from the Alexandria database describes a relaxed structure of LiMnTe2. The functional is GGA-PBE.

Cell: 7.3470 7.3470 3.8987 Å, 90.27 90.27 28.57°
Fractional coordinates of all 4 atoms:
Li 0.0000 0.0000 0.0000
Mn 0.2189 0.2189 0.5062
Te 0.5721 0.5721 0.5017
Te 0.8023 0.8023 0.0052

Results
**E_form (uncorrected)**: -0.342 eV per atom
**VASP energy**: -18.7 eV per cell
**Symmetry**: No. 8


This record from the Alexandria database describes a relaxed structure of YMn2. The functional is GGA-PBE.

Cell: 6.5846 6.5846 4.9250 Å, 90.00 90.00 120.00°
Fractional coordinates of all 9 atoms:
Y 0.0000 0.0000 0.0000
Y 0.3333 0.6667 0.5000
Y 0.6667 0.3333 0.5000
Mn 0.0000 0.2160 0.5000
Mn 0.0000 0.5025 0.0000
Mn 0.2160 0.0000 0.5000
Mn 0.4975 0.4975 0.0000
Mn 0.5025 0.0000 0.0000
Mn 0.7840 0.7840 0.5000

Results
**Energy relative to the elements**: 1.88 eV per formula unit
**VASP energy**: -68.8 eV per cell
**Symmetry**: No. 189


This record from the Alexandria database describes a relaxed structure of LaAgRh4. The functional is GGA-PBE.

Cell: 5.3440 5.3440 5.3440 Å, 60.00 60.00 60.00°
Fractional coordinates of all 6 atoms:
La 0.0000 0.0000 0.0000
Ag 0.2500 0.2500 0.2500
Rh 0.1262 0.6246 0.6246
Rh 0.6246 0.1262 0.6246
Rh 0.6246 0.6246 0.1262
Rh 0.6246 0.6246 0.6246

Results
**Energy relative to the elements**: -1.35 eV per formula unit
**VASP energy**: -38.5 eV per cell
**Symmetry**: No. 216


This record from the Alexandria database describes a relaxed structure of LaAgIO2. The functional is GGA-PBE.

Cell: 4.5167 4.5167 5.0578 Å, 90.00 90.00 90.00°
Fractional coordinates of all 5 atoms:
La 0.0000 0.0000 0.0000
Ag 0.5000 0.5000 0.5000
I 0.5000 0.5000 0.0000
O 0.0000 0.5000 0.5000
O 0.5000 0.0000 0.5000

Results
**Offset from the most stable computed form**: 1054 meV/atom
**E_form (uncorrected)**: -0.546 eV per atom
**VASP energy**: -22.0 eV per cell
**Symmetry**: No. 123


This record from the Alexandria database describes a relaxed structure of MgTlF3. The functional is GGA-PBE.

Cell: 3.6522 3.6522 14.7246 Å, 90.00 90.00 120.00°
Fractional coordinates of all 10 atoms:
Mg 0.3333 0.6667 0.2500
Mg 0.6667 0.3333 0.7500
Tl 0.0000 0.0000 0.0000
Tl 0.0000 0.0000 0.5000
F 0.0000 0.0000 0.2500
F 0.0000 0.0000 0.7500
F 0.3333 0.6667 0.1209
F 0.3333 0.6667 0.3791
F 0.6667 0.3333 0.6209
F 0.6667 0.3333 0.8791

Results
**E_form (uncorrected)**: -2.673 eV per atom
**VASP energy**: -45.9 eV per cell
**Symmetry**: No. 194


This record from the Alexandria database describes a relaxed structure of FeNi14Ru. The functional is GGA-PBE.

Cell: 8.2043 5.0221 5.0221 Å, 59.88 90.00 90.00°
Fractional coordinates of all 16 atoms:
Fe 0.0000 0.0000 0.0000
Ni 0.0000 0.0000 0.5023
Ni 0.0000 0.5023 0.0000
Ni 0.2495 0.1662 0.1662
Ni 0.2522 0.1651 0.6680
Ni 0.2525 0.6673 0.6673
Ni 0.2522 0.6680 0.1651
Ni 0.5000 0.3334 0.3334
Ni 0.5000 0.3335 0.8340
Ni 0.5000 0.8340 0.3335
Ni 0.5000 0.8337 0.8337
Ni 0.7478 0.1651 0.6680
Ni 0.7475 0.6673 0.6673
Ni 0.7478 0.6680 0.1651
Ni 0.7505 0.1662 0.1662
Ru 0.0000 0.5010 0.5010

Results
**Energy relative to the elements**: 0.49 eV per formula unit
**VASP energy**: -98.2 eV per cell
**Symmetry**: No. 38


This record from the Alexandria database describes a relaxed structure of LaP2Pt. The functional is GGA-PBE.

Cell: 3.8935 3.8935 6.6639 Å, 90.00 90.00 118.42°
Fractional coordinates of all 4 atoms:
La 0.0000 0.0000 0.0000
P 0.5000 0.5000 0.3041
P 0.5000 0.5000 0.6959
Pt 0.0000 0.0000 0.5000

Results
**Offset from the most stable computed form**: 357 meV/atom
**Energy relative to the elements**: -2.60 eV per formula unit
**VASP energy**: -24.4 eV per cell
**Symmetry**: No. 65


This record from the Alexandria database describes a relaxed structure of MgGaSn3. The functional is GGA-PBE.

Cell: 5.4132 5.4132 5.4132 Å, 90.00 90.00 90.00°
Fractional coordinates of all 5 atoms:
Mg 0.0000 0.0000 0.0000
Ga 0.5000 0.5000 0.5000
Sn 0.0000 0.0000 0.5000
Sn 0.0000 0.5000 0.0000
Sn 0.5000 0.0000 0.0000

Results
**Offset from the most stable computed form**: 457 meV/atom
**Energy relative to the elements**: 2.39 eV per formula unit
**VASP energy**: -14.2 eV per cell
**Symmetry**: No. 221


This record from the Alexandria database describes a relaxed structure of NaLiGeO3. The functional is GGA-PBE.

Cell: 5.8553 5.8553 7.9338 Å, 90.00 90.00 150.72°
Fractional coordinates of all 12 atoms:
Na 0.1941 0.8059 0.7500
Na 0.8059 0.1941 0.2500
Li 0.0677 0.9323 0.2500
Li 0.9323 0.0677 0.7500
Ge 0.5000 0.5000 0.0000
Ge 0.5000 0.5000 0.5000
O 0.1118 0.8882 0.0276
O 0.1118 0.8882 0.4724
O 0.4681 0.5319 0.2500
O 0.5319 0.4681 0.7500
O 0.8882 0.1118 0.5276
O 0.8882 0.1118 0.9724

Results
**E_form (uncorrected)**: -1.635 eV per atom
**VASP energy**: -65.1 eV per cell
**Symmetry**: No. 63


This record from the Alexandria database describes a relaxed structure of CeScPd14. The functional is GGA-PBE.

Cell: 5.7409 5.7409 7.8759 Å, 90.00 90.00 90.00°
Fractional coordinates of all 16 atoms:
Ce 0.0000 0.0000 0.0000
Sc 0.5000 0.5000 0.0000
Pd 0.0000 0.0000 0.5000
Pd 0.0000 0.5000 0.0000
Pd 0.0000 0.5000 0.5000
Pd 0.2523 0.2523 0.2533
Pd 0.2523 0.2523 0.7467
Pd 0.2523 0.7477 0.2533
Pd 0.2523 0.7477 0.7467
Pd 0.5000 0.0000 0.0000
Pd 0.5000 0.0000 0.5000
Pd 0.5000 0.5000 0.5000
Pd 0.7477 0.2523 0.2533
Pd 0.7477 0.2523 0.7467
Pd 0.7477 0.7477 0.2533
Pd 0.7477 0.7477 0.7467

Results
**Energy relative to the elements**: -6.74 eV per formula unit
**VASP energy**: -91.7 eV per cell
**Symmetry**: No. 123